VASP calculation (PBE) on crystalline CuTcPb3 at its relaxed geometry.

```
data_CuTcPb3
_cell_length_a 5.315
_cell_length_b 5.315
_cell_length_c 5.315
_cell_angle_alpha 90.00
_cell_angle_beta 90.00
_cell_angle_gamma 90.00
_space_group_name_H-M_alt 'P m -3 m'
_space_group_IT_number 221
_space_group_name_Hall '-P 4 2 3'
loop_
_atom_site_label
_atom_site_type_symbol
_atom_site_fract_x
_atom_site_fract_y
_atom_site_fract_z
Cu1 Cu 0.000 0.000 0.000
Tc1 Tc 0.500 0.500 0.500
Pb1 Pb 0.000 0.500 0.500
```

total magnetization: 0.000 μB per cell
ΔE_f: 3.08 eV/f.u.
offset from the most stable computed form: 0.0 meV per atom